[1]
A relaxed BeTeP2 crystal, computed with GGA-PBE.

- space group = No. 99
- ΔE_f (raw) (meV per atom) = 206
- E (eV for the cell shown) = -16.86
- total magnetic moment (μB per cell) = 0.00

Cell lengths 3.5315, 3.5315, 5.8177 Å; angles 90.00, 90.00, 90.00 degrees
Closest atoms and distances in Å follow each position.
Fractional positions:
P: 0.0000 0.0000 0.1326  4 P 2.52, 1 Te 2.62
P: 0.5000 0.5000 0.0766  1 Be 2.15
Te: 0.0000 0.0000 0.5836  4 Be 2.60, 1 P 2.62
Be: 0.5000 0.5000 0.7072  1 P 2.15

[2]
A relaxed BeTeP2 crystal, computed with GGA-PBE.

- space group = No. 35
- ΔE_f (raw) (meV per atom) = 516
- E (eV for the cell shown) = -15.62
- total magnetic moment (μB per cell) = 0.00

Cell lengths 4.4894, 4.4894, 6.8451 Å; angles 90.00, 90.00, 135.02 degrees
Closest atoms and distances in Å follow each position.
Fractional positions:
P: 0.0000 0.0000 0.9917  2 P 2.25, 2 Be 2.26
P: 0.5000 0.5000 0.2046  2 P 2.25
Te: 0.0000 0.0000 0.5257  2 Be 2.44
Be: 0.5000 0.5000 0.7779  2 P 2.26, 2 Te 2.44

[3]
A relaxed BeTeP crystal, computed with GGA-PBE.

- space group = No. 8
- ΔE_f (raw) (meV per atom) = -50
- E (eV for the cell shown) = -49.71
- total magnetic moment (μB per cell) = 0.00

Cell lengths 6.6669, 3.8016, 12.6603 Å; angles 90.00, 107.54, 90.00 degrees
Closest atoms and distances in Å follow each position.
Fractional positions:
P: 0.5503 0.0000 0.0268  1 P 2.23
P: 0.5503 0.5000 0.5268  1 P 2.23
P: 0.5421 0.0000 0.8491  3 Be 2.14-2.16, 1 P 2.23
P: 0.5421 0.5000 0.3491  3 Be 2.14-2.16, 1 P 2.23
Te: 0.0612 0.0000 0.3759  3 Be 2.35-2.39
Te: 0.0612 0.5000 0.8759  3 Be 2.35-2.39
Te: 0.8161 0.0000 0.6171  1 Be 2.47, 2 P 2.62
Te: 0.8161 0.5000 0.1171  1 Be 2.47, 2 P 2.62
Be: 0.8381 0.0000 0.8155  1 P 2.14, 2 Te 2.39
Be: 0.8381 0.5000 0.3155  1 P 2.14, 2 Te 2.39
Be: 0.3802 0.0000 0.3324  2 P 2.16, 1 Te 2.35
Be: 0.3802 0.5000 0.8324  2 P 2.16, 1 Te 2.35

[4]
A relaxed BeTeP2 crystal, computed with GGA-PBE.

- space group = No. 123
- ΔE_f (raw) (meV per atom) = 271
- E (eV for the cell shown) = -16.60
- total magnetic moment (μB per cell) = 0.00

Cell lengths 3.0273, 3.0273, 9.4044 Å; angles 90.00, 90.00, 90.00 degrees
Closest atoms and distances in Å follow each position.
Fractional positions:
P: 0.0000 0.0000 0.8644  1 P 2.15, 4 Be 2.40
P: 0.0000 0.0000 0.6356  1 P 2.15, 4 Be 2.40
Te: 0.5000 0.5000 0.2500  4 Te 3.03
Be: 0.5000 0.5000 0.7500  8 P 2.40